Record 1
HfZnCdCo: optimized geometry, PBE-GGA.

Results
Electronic total energy = -4.68 eV per atom
Magnetization = 0.01 μB per atom
Relative energy among the computed polymorphs = 67.9 meV per atom
Space-group type = F-43m, No. 216

extended XYZ file:
```
4
Lattice="0.0000 3.1884 3.1884 3.1884 0.0000 3.1884 3.1884 3.1884 0.0000" Properties=species:S:1:pos:R:3 pbc="T T T"
Hf 0.0000 0.0000 0.0000
Zn 1.5942 1.5942 1.5942
Cd 4.7826 4.7826 4.7826
Co 3.1884 3.1884 3.1884
```

Record 2
HfZnCdCo: optimized geometry, PBE-GGA.

Results
Electronic total energy = -4.74 eV per atom
Magnetization = 0.21 μB per atom
Relative energy among the computed polymorphs = 0.0 meV per atom
Space-group type = F-43m, No. 216

extended XYZ file:
```
4
Lattice="0.0000 3.2032 3.2032 3.2032 0.0000 3.2032 3.2032 3.2032 0.0000" Properties=species:S:1:pos:R:3 pbc="T T T"
Hf 0.0000 0.0000 0.0000
Zn 3.2032 3.2032 3.2032
Cd 1.6016 1.6016 1.6016
Co 4.8048 4.8048 4.8048
```

Record 3
CdInCoHg: optimized geometry, PBE-GGA.

Results
Electronic total energy = -2.38 eV per atom
Magnetization = 0.22 μB per atom
Relative energy among the computed polymorphs = 0.0 meV per atom
Space-group type = F-43m, No. 216

extended XYZ file:
```
4
Lattice="0.0000 3.3564 3.3564 3.3564 0.0000 3.3564 3.3564 3.3564 0.0000" Properties=species:S:1:pos:R:3 pbc="T T T"
Cd 0.0000 0.0000 0.0000
In 1.6782 1.6782 1.6782
Co 3.3564 3.3564 3.3564
Hg 5.0346 5.0346 5.0346
```

Record 4
TlCdCoHg: optimized geometry, PBE-GGA.

Results
Electronic total energy = -2.17 eV per atom
Magnetization = 0.34 μB per atom
Relative energy among the computed polymorphs = 0.0 meV per atom
Space-group type = F-43m, No. 216

extended XYZ file:
```
4
Lattice="0.0000 3.4338 3.4338 3.4338 0.0000 3.4338 3.4338 3.4338 0.0000" Properties=species:S:1:pos:R:3 pbc="T T T"
Tl 0.0000 0.0000 0.0000
Cd 5.1507 5.1507 5.1507
Co 1.7169 1.7169 1.7169
Hg 3.4338 3.4338 3.4338
```

Record 5
ZnCdCoHg: optimized geometry, PBE-GGA.

Results
Electronic total energy = -2.06 eV per atom
Magnetization = 0.25 μB per atom
Relative energy among the computed polymorphs = 0.0 meV per atom
Space-group type = F-43m, No. 216

extended XYZ file:
```
4
Lattice="0.0000 3.2304 3.2304 3.2304 0.0000 3.2304 3.2304 3.2304 0.0000" Properties=species:S:1:pos:R:3 pbc="T T T"
Zn 0.0000 0.0000 0.0000
Cd 1.6152 1.6152 1.6152
Co 4.8456 4.8456 4.8456
Hg 3.2304 3.2304 3.2304
```

Record 6
Ho12CdCo6: optimized geometry, PBE-GGA.

Results
Electronic total energy = -5.41 eV per atom
Magnetization = 0.00 μB per atom
Space-group type = Im-3, No. 204

extended XYZ file:
```
19
Lattice="-4.7897 4.7897 4.7897 4.7897 -4.7897 4.7897 4.7897 4.7897 -4.7897" Properties=species:S:1:pos:R:3 pbc="T T T"
Ho 4.7897 -1.8864 2.9302
Ho 2.9033 1.8595 0.0000
Ho 6.6761 1.8595 0.0000
Ho 2.9302 4.7897 -1.8864
Ho 1.8595 0.0000 2.9033
Ho 0.0000 2.9033 1.8595
Ho 4.7897 1.8864 2.9302
Ho 2.9302 4.7897 1.8864
Ho 1.8595 0.0000 6.6761
Ho -1.8864 2.9302 4.7897
Ho 1.8864 2.9302 4.7897
Ho 0.0000 6.6761 1.8595
Cd 0.0000 0.0000 0.0000
Co 4.7897 0.0000 1.0885
Co 4.7897 3.7012 0.0000
Co 1.0885 4.7897 0.0000
Co 3.7012 0.0000 4.7897
Co 0.0000 1.0885 4.7897
Co 0.0000 4.7897 3.7012
```

Record 7
Ho4CdCo: optimized geometry, PBE-GGA.

Results
Electronic total energy = -4.64 eV per atom
Magnetization = 0.00 μB per atom
Space-group type = F-43m, No. 216

extended XYZ file:
```
24
Lattice="0.0000 6.6651 6.6651 6.6651 0.0000 6.6651 6.6651 6.6651 0.0000" Properties=species:S:1:pos:R:3 pbc="T T T"
Ho 8.7109 4.6193 4.6193
Ho 3.3325 3.3325 0.8244
Ho 3.3325 0.8244 3.3325
Ho 5.8407 3.3325 3.3325
Ho 6.6651 6.6651 2.5103
Ho 6.6651 2.5103 6.6651
Ho 10.8199 6.6651 6.6651
Ho 0.8244 3.3325 3.3325
Ho 3.3325 5.8407 3.3325
Ho 3.3325 3.3325 5.8407
Ho 4.6193 8.7109 4.6193
Ho 4.6193 4.6193 8.7109
Ho 8.7109 8.7109 8.7109
Ho 2.5103 6.6651 6.6651
Ho 6.6651 10.8199 6.6651
Ho 6.6651 6.6651 10.8199
Cd 5.5904 5.5904 5.5904
Cd 7.7398 7.7398 5.5904
Cd 7.7398 5.5904 7.7398
Cd 5.5904 7.7398 7.7398
Co 11.4493 8.5459 8.5459
Co 8.5459 11.4493 8.5459
Co 8.5459 8.5459 11.4493
Co 11.4493 11.4493 11.4493
```

Record 8
Cd2InCo: optimized geometry, PBE-GGA.

Results
Electronic total energy = -2.61 eV per atom
Magnetization = 0.17 μB per atom
Space-group type = F-43m, No. 216

extended XYZ file:
```
4
Lattice="0.0000 3.3330 3.3330 3.3330 0.0000 3.3330 3.3330 3.3330 0.0000" Properties=species:S:1:pos:R:3 pbc="T T T"
Cd 0.0000 0.0000 0.0000
Cd 1.6665 1.6665 1.6665
In 3.3330 3.3330 3.3330
Co 4.9995 4.9995 4.9995
```

Record 9
CdInCoIr: optimized geometry, PBE-GGA.

Results
Electronic total energy = -4.74 eV per atom
Magnetization = 0.08 μB per atom
Relative energy among the computed polymorphs = 0.0 meV per atom
Space-group type = F-43m, No. 216

extended XYZ file:
```
4
Lattice="0.0000 3.1870 3.1870 3.1870 0.0000 3.1870 3.1870 3.1870 0.0000" Properties=species:S:1:pos:R:3 pbc="T T T"
Cd 0.0000 0.0000 0.0000
In 3.1870 3.1870 3.1870
Co 4.7805 4.7805 4.7805
Ir 1.5935 1.5935 1.5935
```

Record 10
LuCdInCo: optimized geometry, PBE-GGA.

Results
Electronic total energy = -3.86 eV per atom
Magnetization = 0.26 μB per atom
Relative energy among the computed polymorphs = 0.0 meV per atom
Space-group type = F-43m, No. 216

extended XYZ file:
```
4
Lattice="0.0000 3.3721 3.3721 3.3721 0.0000 3.3721 3.3721 3.3721 0.0000" Properties=species:S:1:pos:R:3 pbc="T T T"
Lu 0.0000 0.0000 0.0000
Cd 1.6861 1.6861 1.6861
In 3.3721 3.3721 3.3721
Co 5.0582 5.0582 5.0582
```

Record 11
LuCdInCo: optimized geometry, PBE-GGA.

Results
Electronic total energy = -3.81 eV per atom
Magnetization = 0.02 μB per atom
Relative energy among the computed polymorphs = 58.4 meV per atom
Space-group type = F-43m, No. 216

extended XYZ file:
```
4
Lattice="0.0000 3.3708 3.3708 3.3708 0.0000 3.3708 3.3708 3.3708 0.0000" Properties=species:S:1:pos:R:3 pbc="T T T"
Lu 0.0000 0.0000 0.0000
Cd 5.0562 5.0562 5.0562
In 1.6854 1.6854 1.6854
Co 3.3708 3.3708 3.3708
```

Record 12
MgCdInCo: optimized geometry, PBE-GGA.

Results
Electronic total energy = -2.94 eV per atom
Magnetization = 0.03 μB per atom
Relative energy among the computed polymorphs = 0.0 meV per atom
Space-group type = F-43m, No. 216

extended XYZ file:
```
4
Lattice="0.0000 3.2710 3.2710 3.2710 0.0000 3.2710 3.2710 3.2710 0.0000" Properties=species:S:1:pos:R:3 pbc="T T T"
Mg 0.0000 0.0000 0.0000
Cd 4.9066 4.9066 4.9066
In 1.6355 1.6355 1.6355
Co 3.2710 3.2710 3.2710
```

Record 13
CdInCoNi: optimized geometry, PBE-GGA.

Results
Electronic total energy = -3.98 eV per atom
Magnetization = 0.16 μB per atom
Relative energy among the computed polymorphs = 0.0 meV per atom
Space-group type = F-43m, No. 216

extended XYZ file:
```
4
Lattice="0.0000 3.1245 3.1245 3.1245 0.0000 3.1245 3.1245 3.1245 0.0000" Properties=species:S:1:pos:R:3 pbc="T T T"
Cd 0.0000 0.0000 0.0000
In 3.1245 3.1245 3.1245
Co 4.6868 4.6868 4.6868
Ni 1.5623 1.5623 1.5623
```